Here is an optimized crystal structure of KHfClO2 from Alexandria. Energies are from GGA-PBE.

a = 4.130 Å, b = 5.223 Å, c = 4.130 Å
α = 90.00°, β = 90.00°, γ = 90.00°
Atoms (fractional coordinates):
Hf: 0.000 0.000 0.000
O: 0.500 0.000 0.000
O: 0.000 0.000 0.500
K: 0.500 0.500 0.500
Cl: 0.000 0.500 0.000

raw formation energy = -2.48 eV per atom
symmetry = P4/mmm (123)
total energy = -7.044 eV per atom
Fermi-level density of states = 0.000 states/eV per atom

Here is an optimized crystal structure of KHfPCl2 from Alexandria. Energies are from GGA-PBE.

a = 5.140 Å, b = 5.140 Å, c = 5.015 Å
α = 90.00°, β = 90.00°, γ = 90.00°
Atoms (fractional coordinates):
Cl: 0.000 0.500 0.000
Cl: 0.500 0.000 0.000
K: 0.500 0.500 0.500
Hf: 0.000 0.000 0.000
P: 0.000 0.000 0.500

raw formation energy = -1.16 eV per atom
symmetry = P4/mmm (123)
distance to the lowest polymorph of the same formula = 0.000 eV per atom
total energy = -5.195 eV per atom
Fermi-level density of states = 0.139 states/eV per atom

Here is an optimized crystal structure of KHfPCl2 from Alexandria. Energies are from GGA-PBE.

a = 5.091 Å, b = 5.091 Å, c = 5.630 Å
α = 90.00°, β = 90.00°, γ = 90.00°
Atoms (fractional coordinates):
K: 0.000 0.000 0.000
Hf: 0.500 0.500 0.500
Cl: 0.500 0.000 0.000
Cl: 0.000 0.500 0.000
P: 0.000 0.000 0.500

raw formation energy = 0.68 eV per atom
symmetry = P4/mmm (123)
distance to the lowest polymorph of the same formula = 1.841 eV per atom
total energy = -3.354 eV per atom
Fermi-level density of states = 0.835 states/eV per atom

Here is an optimized crystal structure of K2RbHfCl8 from Alexandria. Energies are from GGA-PBE.

a = 7.075 Å, b = 5.720 Å, c = 9.339 Å
α = 73.11°, β = 90.15°, γ = 90.09°
Atoms (fractional coordinates):
K: 0.500 0.348 0.808
K: 0.500 0.652 0.192
Hf: 0.000 0.000 0.000
Cl: 0.247 0.816 0.883
Cl: 0.002 0.656 0.233
Cl: 0.998 0.344 0.767
Cl: 0.249 0.186 0.115
Cl: 0.500 0.244 0.499
Cl: 0.500 0.756 0.501
Cl: 0.753 0.184 0.117
Cl: 0.751 0.814 0.885
Rb: 0.000 0.000 0.500

raw formation energy = -1.77 eV per atom
symmetry = P-1 (2)
total energy = -4.093 eV per atom
Fermi-level density of states = 0.125 states/eV per atom

Here is an optimized crystal structure of K2RbHfCl6 from Alexandria. Energies are from GGA-PBE.

a = 7.338 Å, b = 7.338 Å, c = 16.433 Å
α = 77.10°, β = 77.10°, γ = 60.00°
Atoms (fractional coordinates):
Cl: 0.631 0.145 0.592
Cl: 0.631 0.631 0.592
Cl: 0.708 0.192 0.908
Cl: 0.855 0.369 0.408
Cl: 0.192 0.192 0.908
Cl: 0.369 0.369 0.408
Cl: 0.369 0.855 0.408
Cl: 0.808 0.292 0.092
Cl: 0.808 0.808 0.092
Cl: 0.292 0.808 0.092
Cl: 0.192 0.708 0.908
Cl: 0.145 0.631 0.592
Hf: 0.500 0.500 0.500
Hf: 0.000 0.000 0.000
Rb: 0.585 0.585 0.246
Rb: 0.415 0.415 0.754
K: 0.149 0.149 0.554
K: 0.315 0.315 0.055
K: 0.685 0.685 0.945
K: 0.851 0.851 0.446

raw formation energy = -1.79 eV per atom
symmetry = R-3m (166)
total energy = -4.210 eV per atom
Fermi-level density of states = 0.564 states/eV per atom

Here is an optimized crystal structure of KRb2HfCl8 from Alexandria. Energies are from GGA-PBE.

a = 7.158 Å, b = 6.382 Å, c = 9.120 Å
α = 74.70°, β = 93.64°, γ = 89.46°
Atoms (fractional coordinates):
Cl: 0.813 0.228 0.119
Cl: 0.987 0.289 0.756
Cl: 0.711 0.857 0.908
Cl: 0.289 0.143 0.092
Cl: 0.013 0.711 0.244
Cl: 0.585 0.818 0.501
Cl: 0.415 0.182 0.499
Cl: 0.187 0.772 0.881
Rb: 0.514 0.388 0.791
Rb: 0.486 0.612 0.209
K: 0.000 0.000 0.500
Hf: 0.000 0.000 0.000

raw formation energy = -1.75 eV per atom
symmetry = P-1 (2)
total energy = -4.062 eV per atom

Here is an optimized crystal structure of KRbHfCl2 from Alexandria. Energies are from GGA-PBE.

a = 5.993 Å, b = 6.651 Å, c = 5.993 Å
α = 90.00°, β = 90.00°, γ = 90.00°
Atoms (fractional coordinates):
K: 0.000 0.000 0.000
Rb: 0.500 0.500 0.500
Cl: 0.000 0.000 0.500
Cl: 0.500 0.000 0.000
Hf: 0.000 0.500 0.000

raw formation energy = 0.03 eV per atom
symmetry = P4/mmm (123)
total energy = -3.113 eV per atom
Fermi-level density of states = 0.000 states/eV per atom

Here is an optimized crystal structure of KRbHfCl6 from Alexandria. Energies are from GGA-PBE.

a = 7.615 Å, b = 7.615 Å, c = 12.955 Å
α = 90.00°, β = 90.00°, γ = 120.00°
Atoms (fractional coordinates):
Hf: 0.333 0.667 0.750
Hf: 0.667 0.333 0.250
K: 0.667 0.333 0.750
K: 0.333 0.667 0.250
Cl: 0.597 0.664 0.640
Cl: 0.933 0.597 0.360
Cl: 0.336 0.933 0.640
Cl: 0.664 0.067 0.360
Cl: 0.597 0.933 0.860
Cl: 0.664 0.597 0.140
Cl: 0.336 0.403 0.860
Cl: 0.403 0.067 0.140
Cl: 0.067 0.403 0.640
Cl: 0.403 0.336 0.360
Cl: 0.067 0.664 0.860
Cl: 0.933 0.336 0.140
Rb: 0.000 0.000 0.500
Rb: 0.000 0.000 0.000

raw formation energy = -1.96 eV per atom
symmetry = P-31c (163)
total energy = -4.531 eV per atom
Fermi-level density of states = 0.000 states/eV per atom

Look up the raw formation energy of the third one.
0.68 eV per atom

Which value of raw formation energy does entry 7 give?
0.03 eV per atom

Which formula does entry 5 have?
K2RbHfCl6

total energy of number 7 (KRbHfCl2)?
-3.113 eV per atom